[1]
MgSb2Pb GGA-PBE relaxed; size of the total moment = 0.00 μB/cell; symmetry = No. 119; formation energy without anion corrections = 43 meV per atom; calculated volume = 110 Å³/cell; ΔE to the lowest computed polymorph = 0.1017 eV per atom
1.0
-2.267 2.267 5.372
2.267 -2.267 5.372
2.267 2.267 -5.372
Mg Sb Pb
1 2 1
Cartesian
0.000 0.000 0.000
0.000 0.000 5.372
0.000 2.267 2.686
2.267 0.000 2.686



[2]
Pu3Ga4Ir2 GGA-PBE relaxed; energy of formation = -4.5 eV/f.u.; size of the total moment = 15.17 μB/cell; symmetry = No. 12; calculated volume = 170 Å³/cell
1.0
5.119 -2.313 0.000
5.119 2.313 0.000
-4.746 0.000 7.195
Pu Ga Ir
3 4 2
Cartesian
0.000 0.000 0.000
1.923 0.000 2.393
3.569 0.000 4.802
-1.050 0.000 2.950
-1.488 0.000 6.933
6.980 0.000 0.262
6.543 0.000 4.244
0.514 0.000 5.228
4.979 0.000 1.966



[3]
Tb2Pr2Ho4Tm GGA-PBE relaxed; energy of formation = 0.0 eV/f.u.; size of the total moment = 0.00 μB/cell; symmetry = No. 12; calculated volume = 290 Å³/cell
1.0
9.340 -1.802 0.000
9.340 1.802 0.000
-4.147 0.000 8.624
Tb Pr Ho Tm
2 2 4 1
Cartesian
2.071 0.000 1.394
12.463 0.000 7.230
4.187 0.000 4.318
10.347 0.000 4.306
-0.008 0.000 7.213
8.288 0.000 1.431
6.246 0.000 7.192
14.542 0.000 1.411
-2.073 0.000 4.312



[4]
LaTbGa6 GGA-PBE relaxed; energy of formation = -4.5 eV/f.u.; size of the total moment = 0.00 μB/cell; symmetry = No. 187; calculated volume = 166 Å³/cell
1.0
6.451 0.000 0.000
-3.226 5.587 0.000
0.000 0.000 4.605
La Tb Ga
1 1 6
Cartesian
0.000 0.000 0.000
0.000 3.725 2.303
1.857 1.072 2.303
3.226 0.237 0.000
1.818 2.675 0.000
4.595 1.072 2.303
3.226 3.443 2.303
4.633 2.675 0.000